(1)
MnCrSe2: relaxed, PBE.

Summary:
Offset from the most stable computed form, meV per atom: 14
E_form (uncorrected), eV per atom: -0.315
Raw total energy, eV per atom: -6.76

Cell lengths 3.789, 3.789, 5.350 Å; angles 90.00, 90.00, 90.00 degrees
Space group P4/mmm (No. 123)
Inequivalent atoms, fractional coordinates:
Mn  0.000  0.000  0.000
Cr  0.500  0.500  0.500
Se  0.000  0.000  0.500
Se  0.500  0.500  0.000

=====

(2)
MnCrSe2: relaxed, PBE.

Summary:
Offset from the most stable computed form, meV per atom: 293
E_form (uncorrected), eV per atom: -0.036
Raw total energy, eV per atom: -6.48

Cell lengths 3.1026, 3.1026, 27.5968 Å; angles 90.00, 90.00, 120.00 degrees
Space group R3m (No. 160, hexagonal axes)
Inequivalent atoms, fractional coordinates:
Mn  0.0000  0.0000  0.0000
Cr  0.0000  0.0000  0.7400
Se  0.0000  0.0000  0.2759
Se  0.0000  0.0000  0.4640

=====

(3)
MnCrSe2: relaxed, PBE.

Summary:
Offset from the most stable computed form, meV per atom: 301
E_form (uncorrected), eV per atom: -0.028
Raw total energy, eV per atom: -6.47

Cell lengths 3.599, 3.599, 15.352 Å; angles 90.00, 90.00, 90.00 degrees
Space group I-4m2 (No. 119)
Inequivalent atoms, fractional coordinates:
Mn  0.000  0.000  0.000
Cr  0.000  0.500  0.250
Se  0.000  0.000  0.500
Se  0.000  0.500  0.750

=====

(4)
Mn3CrSe: relaxed, PBE.

Summary:
E_form (uncorrected), eV per atom: 1.334
Raw total energy, eV per atom: -6.79

Cell lengths 4.216, 4.216, 4.216 Å; angles 90.00, 90.00, 90.00 degrees
Space group Pm-3m (No. 221)
Inequivalent atoms, fractional coordinates:
Mn  0.000  0.000  0.500
Cr  0.000  0.000  0.000
Se  0.500  0.500  0.500

=====

(5)
MnCrSe2: relaxed, PBE.

Summary:
Offset from the most stable computed form, meV per atom: 0
E_form (uncorrected), eV per atom: -0.329
Raw total energy, eV per atom: -6.77

Cell lengths 3.7724, 3.7724, 18.4780 Å; angles 90.00, 90.00, 120.00 degrees
Space group R-3m (No. 166, hexagonal axes)
Inequivalent atoms, fractional coordinates:
Mn  0.0000  0.0000  0.0000
Cr  0.0000  0.0000  0.5000
Se  0.0000  0.0000  0.2483

=====

(6)
MnCrSe2: relaxed, PBE.

Summary:
Offset from the most stable computed form, meV per atom: 220
E_form (uncorrected), eV per atom: -0.109
Raw total energy, eV per atom: -6.55

Cell lengths 4.198, 3.468, 6.279 Å; angles 90.00, 90.34, 90.00 degrees
Space group P2/m (No. 10)
Inequivalent atoms, fractional coordinates:
Mn  0.000  0.000  0.000
Cr  0.000  0.000  0.500
Se  0.246  0.500  0.750

=====

(7)
Mn3CrSe8: relaxed, PBE.

Summary:
E_form (uncorrected), eV per atom: -0.474
Raw total energy, eV per atom: -5.89

Cell lengths 12.124, 7.006, 7.752 Å; angles 90.00, 121.78, 90.00 degrees
Space group C2/m (No. 12)
Inequivalent atoms, fractional coordinates:
Mn  0.000  0.000  0.000
Mn  0.250  0.250  0.000
Cr  0.000  0.500  0.000
Se  0.010  0.248  0.780
Se  0.240  0.000  0.218
Se  0.242  0.500  0.220

=====

(8)
TaMn2CrSe6: relaxed, PBE.

Summary:
E_form (uncorrected), eV per atom: -0.480
Raw total energy, eV per atom: -6.55

Cell lengths 6.4929, 6.4929, 17.3486 Å; angles 90.00, 90.00, 120.00 degrees
Space group R3 (No. 146, hexagonal axes)
Inequivalent atoms, fractional coordinates:
Ta  0.0000  0.0000  0.0000
Mn  0.0000  0.0000  0.3250
Mn  0.0000  0.0000  0.8271
Cr  0.0000  0.0000  0.5047
Se  0.0087  0.6677  0.5806
Se  0.0159  0.3453  0.0828

=====

(9)
Mn2Tl3CrSe6: relaxed, PBE.

Summary:
E_form (uncorrected), eV per atom: -0.448
Raw total energy, eV per atom: -5.11

Cell lengths 6.598, 11.444, 7.918 Å; angles 90.00, 106.19, 90.00 degrees
Space group C2/m (No. 12)
Inequivalent atoms, fractional coordinates:
Mn  0.000  0.167  0.000
Tl  0.000  0.000  0.500
Tl  0.000  0.333  0.500
Cr  0.000  0.500  0.000
Se  0.226  0.335  0.180
Se  0.230  0.000  0.182

=====

(10)
MnTl2Cr2Se6: relaxed, PBE.

Summary:
E_form (uncorrected), eV per atom: -0.493
Raw total energy, eV per atom: -5.41

Cell lengths 6.442, 11.190, 7.925 Å; angles 90.00, 106.21, 90.00 degrees
Space group C2/m (No. 12)
Inequivalent atoms, fractional coordinates:
Mn  0.000  0.000  0.000
Tl  0.000  0.169  0.500
Cr  0.000  0.331  0.000
Se  0.228  0.165  0.179
Se  0.230  0.500  0.178

=====

(11)
Mn2VCrSe6: relaxed, PBE.

Summary:
E_form (uncorrected), eV per atom: -0.506
Raw total energy, eV per atom: -6.30

Cell lengths 6.4527, 6.4527, 17.1253 Å; angles 90.00, 90.00, 120.00 degrees
Space group R3 (No. 146, hexagonal axes)
Inequivalent atoms, fractional coordinates:
Mn  0.0000  0.0000  0.0000
Mn  0.0000  0.0000  0.4996
V  0.0000  0.0000  0.8110
Cr  0.0000  0.0000  0.3119
Se  0.0020  0.3151  0.4058
Se  0.0199  0.6672  0.5729

=====

(12)
MnCrW2Se: relaxed, PBE.

Summary:
E_form (uncorrected), eV per atom: 1.736
Raw total energy, eV per atom: -7.90

Cell lengths 4.585, 4.585, 4.297 Å; angles 90.00, 90.00, 90.00 degrees
Space group P4/mmm (No. 123)
Inequivalent atoms, fractional coordinates:
Mn  0.000  0.000  0.000
Cr  0.500  0.500  0.000
W  0.000  0.500  0.500
Se  0.500  0.500  0.500

=====

(13)
MnZn3Cr8Se16: relaxed, PBE.

Summary:
E_form (uncorrected), eV per atom: -0.575
Raw total energy, eV per atom: -5.78

Cell lengths 7.5057, 7.5057, 36.7588 Å; angles 90.00, 90.00, 120.00 degrees
Space group R3m (No. 160, hexagonal axes)
Inequivalent atoms, fractional coordinates:
Mn  0.0000  0.0000  0.0000
Zn  0.0000  0.0000  0.3749
Zn  0.0000  0.0000  0.4999
Zn  0.0000  0.0000  0.8749
Cr  0.0000  0.0000  0.1873
Cr  0.0000  0.0000  0.6876
Cr  0.0004  0.5002  0.4377
Cr  0.9999  0.4999  0.9371
Se  0.0000  0.0000  0.0677
Se  0.0000  0.0000  0.3071
Se  0.0000  0.0000  0.5676
Se  0.0000  0.0000  0.8073
Se  0.0279  0.5140  0.3106
Se  0.0279  0.5139  0.8107
Se  0.1805  0.3610  0.3977
Se  0.1806  0.3612  0.8973

=====

(14)
MnCr2Si: relaxed, PBE.

Summary:
E_form (uncorrected), eV per atom: -0.042
Raw total energy, eV per atom: -8.50

Cell lengths 4.913, 7.105, 2.669 Å; angles 90.00, 90.00, 90.00 degrees
Space group Cmmm (No. 65)
Inequivalent atoms, fractional coordinates:
Mn  0.000  0.000  0.000
Cr  0.250  0.250  0.500
Si  0.000  0.500  0.000

=====

(15)
MnCrSi2: relaxed, PBE.

Summary:
E_form (uncorrected), eV per atom: -0.191
Raw total energy, eV per atom: -7.60

Cell lengths 2.914, 3.825, 8.256 Å; angles 90.00, 90.00, 90.00 degrees
Space group Imm2 (No. 44)
Inequivalent atoms, fractional coordinates:
Mn  0.000  0.000  0.000
Cr  0.000  0.500  0.256
Si  0.000  0.000  0.511
Si  0.000  0.500  0.735

=====

(16)
MnCrSi2: relaxed, PBE.

Summary:
E_form (uncorrected), eV per atom: -0.188
Raw total energy, eV per atom: -7.60

Cell lengths 5.710, 5.710, 5.710 Å; angles 90.00, 90.00, 90.00 degrees
Space group Fm-3m (No. 225)
Inequivalent atoms, fractional coordinates:
Mn  0.000  0.000  0.000
Cr  0.000  0.000  0.500
Si  0.250  0.250  0.250

=====

(17)
MnCrSi2: relaxed, PBE.

Summary:
E_form (uncorrected), eV per atom: 0.083
Raw total energy, eV per atom: -7.33

Cell lengths 3.382, 3.819, 7.649 Å; angles 90.00, 90.00, 90.00 degrees
Space group Cmm2 (No. 35)
Inequivalent atoms, fractional coordinates:
Mn  0.000  0.000  0.000
Cr  0.000  0.500  0.242
Si  0.000  0.000  0.478
Si  0.000  0.500  0.775

=====

(18)
MnCr2Si: relaxed, PBE.

Summary:
E_form (uncorrected), eV per atom: -0.148
Raw total energy, eV per atom: -8.61

Cell lengths 2.537, 3.913, 4.746 Å; angles 90.00, 104.85, 90.00 degrees
Space group P2/m (No. 10)
Inequivalent atoms, fractional coordinates:
Mn  0.000  0.000  0.000
Cr  0.478  0.500  0.255
Si  0.000  0.000  0.500

=====

(19)
MnCrSi2: relaxed, PBE.

Summary:
E_form (uncorrected), eV per atom: -0.284
Raw total energy, eV per atom: -7.69

Cell lengths 2.996, 2.996, 5.179 Å; angles 90.00, 90.00, 90.00 degrees
Space group P4mm (No. 99)
Inequivalent atoms, fractional coordinates:
Mn  0.000  0.000  0.000
Cr  0.500  0.500  0.701
Si  0.000  0.000  0.485
Si  0.500  0.500  0.212

=====

(20)
MnCr2Si: relaxed, PBE.

Summary:
E_form (uncorrected), eV per atom: -0.059
Raw total energy, eV per atom: -8.52

Cell lengths 2.588, 3.735, 4.825 Å; angles 90.00, 90.00, 90.00 degrees
Space group Pmm2 (No. 25)
Inequivalent atoms, fractional coordinates:
Mn  0.000  0.000  0.000
Cr  0.000  0.000  0.475
Cr  0.500  0.500  0.733
Si  0.500  0.500  0.231